No. 1
DFT (GGA-PBE) results for crystalline Na4La3GaO8 at its relaxed geometry.

Calculated values
For the formation energy (no corrections), the calculation gives -2.33 eV per atom. As for the magnetic moment: 0.00 μB per formula unit. The crystal system is monoclinic.

a = 7.1065 Å, b = 7.1065 Å, c = 6.8198 Å
α = 117.48°, β = 117.48°, γ = 58.69°
Fractional coordinates of all 16 atoms:
Na: 0.0000 0.0000 0.0000
Na: 0.0000 0.5000 0.5000
Na: 0.5000 0.0000 0.5000
Na: 0.5000 0.5000 0.0000
La: 0.0000 0.0000 0.5000
La: 0.0000 0.5000 0.0000
La: 0.5000 0.0000 0.0000
Ga: 0.5000 0.5000 0.5000
O: 0.2193 0.2193 0.2032
O: 0.2270 0.2270 0.7370
O: 0.2779 0.6899 0.2818
O: 0.3101 0.7221 0.7182
O: 0.6899 0.2779 0.2818
O: 0.7221 0.3101 0.7182
O: 0.7730 0.7730 0.2630
O: 0.7807 0.7807 0.7968


No. 2
DFT (GGA-PBE) results for crystalline NaLa2GaOs at its relaxed geometry.

Calculated values
The formation energy is -12.0 kJ per mole of atoms. As for the magnetic moment: 0.00 μB per formula unit. The crystal system is tetragonal.

a = 5.5937 Å, b = 5.5937 Å, c = 4.9820 Å
α = 90.00°, β = 90.00°, γ = 90.00°
Fractional coordinates of all 5 atoms:
Na: 0.0000 0.0000 0.0000
La: 0.0000 0.5000 0.5000
La: 0.5000 0.0000 0.5000
Ga: 0.5000 0.5000 0.0000
Os: 0.5000 0.5000 0.5000